a) Here is TlFe2Se after structural relaxation from Alexandria via LeMat-Bulk. Energies are from GGA-PBEsol.

Output
Total magnetic moment: 1.138 μB per atom
Space-group type: Cm

a = 3.177 Å, b = 4.200 Å, c = 6.045 Å
α = 101.65°, β = 90.00°, γ = 112.22°
Site moments in Bohr magnetons follow the coordinates.
Atoms (fractional coordinates):
Fe (0.745, 0.490, 0.233)  2.33
Se (0.479, 0.959, 0.373)  -0.01
Tl (0.256, 0.511, 0.810)  -0.03
Fe (0.020, 0.040, 0.084)  2.27

b) Here is TlFe2Se after structural relaxation from Alexandria via LeMat-Bulk. Energies are from GGA-PBEsol.

Output
Total magnetic moment: 1.312 μB per atom
Space-group type: Immm

a = 2.993 Å, b = 5.219 Å, c = 5.219 Å
α = 63.88°, β = 73.34°, γ = 73.34°
Site moments in Bohr magnetons follow the coordinates.
Atoms (fractional coordinates):
Fe (0.724, 0.276, 0.276)  2.62
Tl (0.500, 0.000, 0.000)  -0.04
Fe (0.276, 0.724, 0.724)  2.62
Se (0.000, 0.500, 0.500)  0.08

Which structure is most stable? a), by 0.270 eV/atom over the runner-up.

a) Here is FeWSe2 after structural relaxation from Alexandria via LeMat-Bulk. Energies are from GGA-PBEsol.

Output
Total magnetic moment: 0.551 μB per atom
Space-group type: P4/mmm

a = 3.096 Å, b = 3.096 Å, c = 6.107 Å
α = 90.00°, β = 90.00°, γ = 90.00°
Site moments in Bohr magnetons follow the coordinates.
Atoms (fractional coordinates):
Se (0.000, 0.000, 0.251)  0.02
Fe (0.500, 0.500, 0.500)  2.38
W (0.500, 0.500, 0.000)  -0.14
Se (0.000, 0.000, 0.749)  0.02

b) Here is FeWSe2 after structural relaxation from Alexandria via LeMat-Bulk. Energies are from GGA-PBEsol.

Output
Total magnetic moment: 0.622 μB per atom
Space-group type: R-3m

a = 3.096 Å, b = 3.096 Å, c = 7.637 Å
α = 78.30°, β = 78.30°, γ = 60.00°
Site moments in Bohr magnetons follow the coordinates.
Atoms (fractional coordinates):
Fe (0.000, 0.000, 0.000)  2.53
W (0.500, 0.500, 0.500)  -0.04
Se (0.251, 0.251, 0.246)  0.01
Se (0.749, 0.749, 0.754)  0.01

Which structure is most stable? b), by 0.007 eV/atom over the runner-up.